# MgPt2Cl

A relaxed MgPt2Cl crystal (PBE, the Alexandria database).

Cell: 3.1037 3.1037 7.0420 Å, 90.00 90.00 90.00°
Last column: nearest neighbours and their distance in Å.
Space group P4/mmm (No. 123)
Symmetry-distinct sites (fractional):
Mg: 0.0000 0.0000 0.0000 (multiplicity 1)  8 Pt 2.67
Pt: 0.5000 0.5000 0.2149 (multiplicity 2)  4 Mg 2.67, 4 Cl 2.97
Cl: 0.0000 0.0000 0.5000 (multiplicity 1)  8 Pt 2.97, 4 Cl 3.10

Values from the calculation:
magnetic moment: 0.0 μB/f.u.
DOS at the Fermi energy: 2.56 states/eV/f.u.
excess energy over the best structure of this formula in the dataset: 1.36 eV per formula unit

---

# MgPtCl3

A relaxed MgPtCl3 crystal (PBE, the Alexandria database).

Cell: 4.9156 4.9156 4.9156 Å, 90.00 90.00 90.00°
Last column: nearest neighbours and their distance in Å.
Space group Pm-3m (No. 221)
Symmetry-distinct sites (fractional):
Mg: 0.0000 0.0000 0.0000 (multiplicity 1)  12 Cl 3.48
Pt: 0.5000 0.5000 0.5000 (multiplicity 1)  6 Cl 2.46
Cl: 0.0000 0.5000 0.5000 (multiplicity 3)  2 Pt 2.46

Values from the calculation:
magnetic moment: 0.0 μB/f.u.
DOS at the Fermi energy: 2.03 states/eV/f.u.
excess energy over the best structure of this formula in the dataset: 0.00 eV per formula unit

---

# MgPt2Cl

A relaxed MgPt2Cl crystal (PBE, the Alexandria database).

Cell: 2.8504 2.8504 29.6861 Å, 90.00 90.00 120.00°
Last column: nearest neighbours and their distance in Å.
Space group R-3m (No. 166, hexagonal axes)
Symmetry-distinct sites (fractional):
Mg: 0.0000 0.0000 0.0000 (multiplicity 3)  6 Pt 2.65, 6 Mg 2.85
Pt: 0.0000 0.0000 0.2632 (multiplicity 6)  3 Mg 2.65, 6 Pt 2.85
Cl: 0.0000 0.0000 0.5000 (multiplicity 3)  6 Cl 2.85

Values from the calculation:
magnetic moment: 0.0 μB/f.u.
DOS at the Fermi energy: 3.32 states/eV/f.u.
excess energy over the best structure of this formula in the dataset: 1.15 eV per formula unit

---

# MgPtCl

A relaxed MgPtCl crystal (PBE, the Alexandria database).

Cell: 14.4192 3.1390 5.4407 Å, 90.00 90.00 90.00°
Last column: nearest neighbours and their distance in Å.
Space group Amm2 (No. 38)
Symmetry-distinct sites (fractional):
Mg: 0.0000 0.0000 0.0000 (multiplicity 2)  6 Pt 2.68
Mg: 0.5000 0.0000 0.2184 (multiplicity 2)  6 Cl 2.42-2.43
Pt: 0.1367 0.0000 0.3335 (multiplicity 4)  3 Mg 2.68
Cl: 0.3883 0.0000 0.8855 (multiplicity 4)  3 Mg 2.42-2.43

Values from the calculation:
magnetic moment: 0.0 μB/f.u.
DOS at the Fermi energy: 1.50 states/eV/f.u.
excess energy over the best structure of this formula in the dataset: 0.97 eV per formula unit

---

| no. | V (Å³ per cell) |
| --- | --- |
| 1 | 67.84 |
| 2 | 118.78 |
| 3 | 208.87 |
| 4 | 246.26 |